No. 1
A plane-wave DFT calculation with GGA-PBE was carried out for an optimized crystal structure of NiAgAs3.

- Magnetic moment: 0.0 μB per formula unit
- Energy relative to the lowest polymorph listed for this composition: 0 meV/atom
- ΔH_f (0 K): 0.465 eV per atom

Cell: 4.6563 4.6563 4.6563 Å, 90.00 90.00 90.00°
Sites, in units of the cell vectors:
Ni 0.0000 0.0000 0.0000
As 0.0000 0.5000 0.0000
As 0.0000 0.0000 0.5000
As 0.5000 0.0000 0.0000
Ag 0.5000 0.5000 0.5000

No. 2
A plane-wave DFT calculation with GGA-PBE was carried out for an optimized crystal structure of Sc4CuNi2Ag.

- Magnetic moment: 0.0 μB per formula unit
- ΔH_f (0 K): -0.363 eV per atom

Cell: 4.6078 4.6078 8.0095 Å, 73.28 73.28 60.00°
Sites, in units of the cell vectors:
Sc 0.3788 0.3788 0.8635
Sc 0.8717 0.8717 0.3848
Sc 0.1283 0.1283 0.6152
Sc 0.6212 0.6212 0.1365
Cu 0.5000 0.5000 0.5000
Ni 0.7503 0.7503 0.7492
Ni 0.2497 0.2497 0.2508
Ag 0.0000 0.0000 0.0000

No. 3
A plane-wave DFT calculation with GGA-PBE was carried out for an optimized crystal structure of Ni2HPdW.

- Magnetic moment: 0.0 μB per formula unit
- Calculated total energy: -32.17 eV/cell

Cell: 3.8217 3.8217 3.8043 Å, 90.00 90.00 90.00°
Sites, in units of the cell vectors:
Ni 0.0000 0.5000 0.0000
Ni 0.5000 0.0000 0.0000
Pd 0.5000 0.5000 0.5000
W 0.0000 0.0000 0.5000
H 0.0000 0.0000 0.0000

No. 4
A plane-wave DFT calculation with GGA-PBE was carried out for an optimized crystal structure of SrAu.

- Magnetic moment: 0.0 μB per formula unit
- ΔH_f (0 K): -0.235 eV per atom

Cell: 8.7232 8.7232 8.7232 Å, 90.00 90.00 90.00°
Sites, in units of the cell vectors:
Sr 0.2500 0.0000 0.5000
Sr 0.7500 0.0000 0.5000
Sr 0.0000 0.5000 0.2500
Sr 0.0000 0.5000 0.7500
Sr 0.5000 0.2500 0.0000
Sr 0.5000 0.7500 0.0000
Au 0.2500 0.5000 0.0000
Au 0.7500 0.5000 0.0000
Au 0.5000 0.0000 0.2500
Au 0.5000 0.0000 0.7500
Au 0.0000 0.2500 0.5000
Au 0.0000 0.7500 0.5000

No. 5
A plane-wave DFT calculation with GGA-PBE was carried out for an optimized crystal structure of Rb2In6Rh.

- Magnetic moment: 0.0 μB per formula unit
- ΔH_f (0 K): -0.084 eV per atom

Cell: 5.9269 7.0694 7.0694 Å, 65.70 86.01 86.01°
Sites, in units of the cell vectors:
Rb 0.7982 0.6259 0.6259
Rb 0.2018 0.3741 0.3741
In 0.3074 0.3024 0.8950
In 0.2697 0.8057 0.8057
In 0.3074 0.8950 0.3024
In 0.6926 0.6976 0.1050
In 0.7303 0.1943 0.1943
In 0.6926 0.1050 0.6976
Rh 0.0000 0.0000 0.0000

No. 6
A plane-wave DFT calculation with GGA-PBE was carried out for an optimized crystal structure of HfZrSn.

- Magnetic moment: 1.4 μB per formula unit
- ΔH_f (0 K): -0.073 eV per atom

Cell: 3.1715 4.9870 4.9870 Å, 120.00 90.00 90.00°
Sites, in units of the cell vectors:
Hf 0.0348 0.0000 0.0000
Sn 0.3227 0.3333 0.6667
Zr 0.6425 0.6667 0.3333

| no. | V (Å³/cell) |
| --- | --- |
| 1 | 101 |
| 2 | 139 |
| 3 | 56 |
| 4 | 664 |
| 5 | 269 |
| 6 | 68 |